No. 1
Y2AlZn12Pd3 | Alexandria | GGA-PBE | relaxed; formation energy = -213 meV per atom; DOS(E_F) = 7.64 states/eV/f.u.; calculated volume = 304.3 Å³/cell
1.0
4.5242 2.6120 4.2923
-4.5242 2.6120 4.2923
0.0000 -5.2241 4.2923
Y Al Zn Pd
2 1 12 3
direct
0.2454 0.2454 0.2454
0.7546 0.7546 0.7546
0.5000 0.5000 0.5000
0.0673 0.0673 0.6592
0.0673 0.6592 0.0673
0.2244 0.7033 0.7033
0.2967 0.2967 0.7756
0.2967 0.7756 0.2967
0.3408 0.9327 0.9327
0.6592 0.0673 0.0673
0.7033 0.2244 0.7033
0.7033 0.7033 0.2244
0.7756 0.2967 0.2967
0.9327 0.3408 0.9327
0.9327 0.9327 0.3408
0.0000 0.5000 0.5000
0.5000 0.0000 0.5000
0.5000 0.5000 0.0000

No. 2
PuUB4 | Alexandria | GGA-PBE | relaxed; formation energy = -233 meV per atom; DOS(E_F) = 7.36 states/eV/f.u.; energy above the most stable polymorph in this dataset = 0.00 eV per formula unit; calculated volume = 137.1 Å³/cell
1.0
3.6155 -4.6488 0.0000
3.6155 4.6488 0.0000
0.0000 0.0000 4.0787
Pu U B
2 2 8
direct
0.1763 0.1763 0.0000
0.8237 0.8237 0.0000
0.3118 0.6882 0.0000
0.6882 0.3118 0.0000
0.0643 0.3877 0.5000
0.1003 0.8997 0.5000
0.3811 0.3811 0.5000
0.3877 0.0643 0.5000
0.6123 0.9357 0.5000
0.6189 0.6189 0.5000
0.8997 0.1003 0.5000
0.9357 0.6123 0.5000

No. 3
Li2Si2Pd3 | Alexandria | GGA-PBE | relaxed; formation energy from raw total energies = -0.535 eV per atom; DOS(E_F) = 1.73 states/eV/f.u.; energy above the most stable polymorph in this dataset = 0.13 eV per formula unit; calculated volume = 109.3 Å³/cell
1.0
4.9496 -1.7371 0.0000
4.9496 1.7371 0.0000
-2.6409 0.0000 6.3539
Li Si Pd
2 2 3
direct
0.1300 0.1300 0.2873
0.8700 0.8700 0.7127
0.1554 0.1554 0.7310
0.8446 0.8446 0.2690
0.3761 0.3761 0.0471
0.5000 0.5000 0.5000
0.6239 0.6239 0.9529

No. 4
Li3ClO | Alexandria | GGA-PBE | relaxed; formation energy from raw total energies = -1.792 eV per atom; DOS(E_F) = 0.00 states/eV/f.u.; energy above the most stable polymorph in this dataset = 0.15 eV per formula unit; calculated volume = 272.1 Å³/cell
1.0
5.6264 -4.6145 0.0000
5.6264 4.6145 0.0000
0.0000 0.0000 5.2401
Li Cl O
12 4 4
direct
0.0976 0.0976 0.0000
0.1215 0.6824 0.5929
0.1824 0.6215 0.0929
0.3176 0.8785 0.5929
0.3785 0.8176 0.0929
0.4024 0.4024 0.5000
0.5976 0.5976 0.5000
0.6215 0.1824 0.9071
0.6824 0.1215 0.4071
0.8176 0.3785 0.9071
0.8785 0.3176 0.4071
0.9024 0.9024 0.0000
0.1290 0.3710 0.7500
0.3710 0.1290 0.2500
0.6290 0.8710 0.7500
0.8710 0.6290 0.2500
0.1576 0.8424 0.8725
0.3424 0.6576 0.3725
0.6576 0.3424 0.6275
0.8424 0.1576 0.1275

No. 5
Li2CoSe | Alexandria | GGA-PBE | relaxed; formation energy from raw total energies = -0.304 eV per atom; DOS(E_F) = 3.55 states/eV/f.u.; calculated volume = 50.5 Å³/cell
1.0
-1.8911 1.8911 3.5289
1.8911 -1.8911 3.5289
1.8911 1.8911 -3.5289
Li Co Se
2 1 1
direct
0.0000 0.0000 0.0000
0.7500 0.2500 0.5000
0.5000 0.5000 0.0000
0.2500 0.7500 0.5000

No. 6
Ce2SbF3 | Alexandria | GGA-PBE | relaxed; formation energy from raw total energies = -2.937 eV per atom; DOS(E_F) = 12.63 states/eV/f.u.; calculated volume = 234.4 Å³/cell
1.0
7.6849 -2.0481 0.0000
7.6849 2.0481 0.0000
-3.3960 0.0000 7.4469
Ce Sb F
4 2 6
direct
0.0246 0.0246 0.2348
0.2992 0.2992 0.3064
0.7008 0.7008 0.6936
0.9754 0.9754 0.7652
0.3645 0.3645 0.9546
0.6355 0.6355 0.0454
0.1010 0.1010 0.6615
0.1902 0.1902 0.4541
0.4410 0.4410 0.5932
0.5590 0.5590 0.4068
0.8098 0.8098 0.5459
0.8990 0.8990 0.3385

Calculated M_tot (μB per cell), listed in the same order as above: 0.00; 9.26; 0.00; 0.00; 0.98; 4.01